{"formula": "CdAgSbTe2", "functional": "PBE-GGA", "state": "optimized geometry", "de_polymorph_ev_per_fu": 0.930, "lattice_angstrom": [[5.683, 0.000, 0.000], [0.000, 5.683, 0.000], [0.000, 0.000, 5.421]], "species": ["Cd", "Ag", "Sb", "Te", "Te"], "frac_coords": [[0.000, 0.000, 0.000], [0.500, 0.500, 0.500], [0.000, 0.000, 0.500], [0.000, 0.500, 0.000], [0.500, 0.000, 0.000]]}

---

{"formula": "CdAgSbTe2", "functional": "PBE-GGA", "state": "optimized geometry", "de_polymorph_ev_per_fu": 0.000, "lattice_angstrom": [[5.538, 0.000, 0.000], [0.000, 5.538, 0.000], [0.000, 0.000, 5.290]], "species": ["Cd", "Ag", "Sb", "Te", "Te"], "frac_coords": [[0.000, 0.000, 0.000], [0.500, 0.500, 0.500], [0.500, 0.500, 0.000], [0.000, 0.500, 0.500], [0.500, 0.000, 0.500]]}

---

{"formula": "Tl2CdAgSb2", "functional": "PBE-GGA", "state": "optimized geometry", "e_tot_ev_per_cell": -33.7, "lattice_angstrom": [[-3.184, 8.461, 3.213], [3.184, -8.461, 3.213], [3.184, 8.461, -3.213]], "species": ["Tl", "Tl", "Tl", "Tl", "Cd", "Cd", "Ag", "Ag", "Sb", "Sb", "Sb", "Sb"], "frac_coords": [[0.176, 0.243, 0.419], [0.324, 0.743, 0.067], [0.676, 0.257, 0.933], [0.824, 0.757, 0.581], [0.250, 0.250, 0.000], [0.750, 0.750, 0.000], [0.250, 0.750, 0.500], [0.750, 0.250, 0.500], [0.112, 0.738, 0.851], [0.388, 0.238, 0.626], [0.612, 0.762, 0.374], [0.888, 0.262, 0.149]]}

---

{"formula": "CdAgSb2W", "functional": "PBE-GGA", "state": "optimized geometry", "e_tot_ev_per_cell": -17.7, "lattice_angstrom": [[5.246, 0.000, 0.000], [0.000, 5.246, 0.000], [0.000, 0.000, 5.267]], "species": ["Cd", "Ag", "Sb", "Sb", "W"], "frac_coords": [[0.000, 0.000, 0.000], [0.500, 0.500, 0.500], [0.000, 0.500, 0.500], [0.500, 0.000, 0.500], [0.500, 0.500, 0.000]]}

---

{"formula": "ZnCd2Ag7Sb2", "functional": "PBE-GGA", "state": "optimized geometry", "e_tot_ev_per_cell": -30.7, "lattice_angstrom": [[3.026, -3.069, 0.000], [3.026, 3.069, 0.000], [-0.069, 0.000, 13.109]], "species": ["Zn", "Cd", "Cd", "Ag", "Ag", "Ag", "Ag", "Ag", "Ag", "Ag", "Sb", "Sb"], "frac_coords": [[0.000, 0.000, 0.000], [0.499, 0.499, 0.309], [0.501, 0.501, 0.691], [0.001, 0.500, 0.146], [0.256, 0.256, 0.500], [0.500, 0.001, 0.146], [0.500, 0.500, 0.000], [0.500, 0.999, 0.854], [0.744, 0.744, 0.500], [0.999, 0.500, 0.854], [0.002, 0.002, 0.687], [0.998, 0.998, 0.313]]}

---

{"formula": "ScCd2Ag5", "functional": "PBE-GGA", "state": "optimized geometry", "formation_enthalpy_0k_mev_per_atom": 472, "de_polymorph_ev_per_fu": 4.638, "lattice_angstrom": [[6.341, 0.000, 0.000], [0.000, 6.341, 0.000], [0.000, 0.000, 4.999]], "species": ["Sc", "Cd", "Cd", "Ag", "Ag", "Ag", "Ag", "Ag"], "frac_coords": [[0.000, 0.000, 0.000], [0.000, 0.500, 0.500], [0.500, 0.000, 0.500], [0.000, 0.000, 0.500], [0.291, 0.291, 0.000], [0.291, 0.709, 0.000], [0.709, 0.291, 0.000], [0.709, 0.709, 0.000]]}

---

{"formula": "ScCd2Ag", "functional": "PBE-GGA", "state": "optimized geometry", "formation_enthalpy_0k_mev_per_atom": -168, "lattice_angstrom": [[4.347, 0.000, 0.000], [0.000, 4.347, 0.000], [0.000, 0.000, 4.440]], "species": ["Sc", "Cd", "Cd", "Ag"], "frac_coords": [[0.000, 0.000, 0.000], [0.000, 0.500, 0.500], [0.500, 0.000, 0.500], [0.500, 0.500, 0.000]]}

---

{"formula": "Sc4Cd5Ag", "functional": "PBE-GGA", "state": "optimized geometry", "formation_enthalpy_0k_mev_per_atom": -244, "lattice_angstrom": [[7.507, -2.448, 0.000], [7.507, 2.448, 0.000], [-1.746, 0.000, 5.859]], "species": ["Sc", "Sc", "Sc", "Sc", "Cd", "Cd", "Cd", "Cd", "Cd", "Ag"], "frac_coords": [[0.096, 0.096, 0.392], [0.308, 0.308, 0.200], [0.692, 0.692, 0.800], [0.904, 0.904, 0.608], [0.103, 0.103, 0.905], [0.298, 0.298, 0.693], [0.500, 0.500, 0.000], [0.702, 0.702, 0.307], [0.897, 0.897, 0.095], [0.500, 0.500, 0.500]]}

---

What did we get for mass density? Answer: 5.67, 6.11, 8.37, 7.42, 8.79, 6.68, 7.47, 6.55 g/cm³, in the order shown.